No. 1
The following is a GGA-PBEsol calculation of a relaxed Al3CuRu crystal, from Alexandria.

Cell and atoms, written as POSCAR:
```
Al3CuRu
1.0
-1.043 -2.963 3.368
3.429 1.702 2.560
-2.891 3.088 1.820
Al Ru Cu
3 1 1
direct
0.000 0.500 0.000
0.500 0.000 0.000
0.000 0.000 0.500
0.000 0.000 0.000
0.500 0.500 0.500
```

ΔH_f (0 K) in eV per formula unit: 1.62
Space group: Pm-3m, No. 221
Fermi-level density of states in states/eV per atom: 0.467
Magnetic moment in Bohr magnetons per cell: 0.00
Total energy in eV per cell: -25.2


No. 2
The following is a GGA-PBEsol calculation of a relaxed Al2CuRu crystal, from Alexandria.

Cell and atoms, written as POSCAR:
```
Al2CuRu
1.0
-1.195 -1.543 -2.451
3.415 0.396 -1.915
0.240 -3.092 3.832
Cu Al Ru
1 2 1
direct
0.496 0.496 0.991
0.995 0.994 0.989
0.761 0.261 0.522
0.249 0.749 0.497
```

ΔH_f (0 K) in eV per formula unit: -1.81
Space group: Imm2, No. 44
Fermi-level density of states in states/eV per atom: 0.153
Magnetic moment in Bohr magnetons per cell: 0.00
Total energy in eV per cell: -24.5


No. 3
The following is a GGA-PBEsol calculation of a relaxed AlCuRu crystal, from Alexandria.

Cell and atoms, written as POSCAR:
```
AlCuRu
1.0
-2.161 1.637 0.269
-0.336 -2.574 -0.827
-0.634 -1.796 5.844
Al Ru Cu
1 1 1
direct
0.000 0.000 0.000
0.667 0.333 0.327
0.333 0.667 0.673
```

ΔH_f (0 K) in eV per formula unit: -0.07
Space group: P3m1, No. 156
Fermi-level density of states in states/eV per atom: 0.707
Magnetic moment in Bohr magnetons per cell: 0.00
Total energy in eV per cell: -18.7


No. 4
The following is a GGA-PBEsol calculation of a relaxed Al7Cu2Ru crystal, from Alexandria.

Cell and atoms, written as POSCAR:
```
Al7Cu2Ru
1.0
6.382 0.000 0.000
0.000 6.382 0.000
0.000 0.000 14.769
Al Cu Ru
28 8 4
direct
0.798 0.585 0.903
0.415 0.798 0.903
0.298 0.915 0.403
0.500 0.500 0.630
0.915 0.702 0.597
0.298 0.915 0.597
0.843 0.343 0.250
0.202 0.415 0.903
0.085 0.298 0.597
0.085 0.298 0.403
0.585 0.202 0.097
0.702 0.085 0.597
0.202 0.415 0.097
0.415 0.798 0.097
0.343 0.157 0.750
0.500 0.500 0.370
0.657 0.843 0.750
0.343 0.157 0.250
0.000 0.000 0.870
0.702 0.085 0.403
0.657 0.843 0.250
0.915 0.702 0.403
0.843 0.343 0.750
0.157 0.657 0.250
0.157 0.657 0.750
0.000 0.000 0.130
0.798 0.585 0.097
0.585 0.202 0.903
0.912 0.267 0.000
0.767 0.412 0.500
0.412 0.233 0.500
0.588 0.767 0.500
0.233 0.588 0.500
0.267 0.088 0.000
0.733 0.912 0.000
0.088 0.733 0.000
0.500 0.500 0.799
0.000 0.000 0.299
0.000 0.000 0.701
0.500 0.500 0.201
```

ΔH_f (0 K) in eV per formula unit: -3.28
Space group: P4/mnc, No. 128
Fermi-level density of states in states/eV per atom: 0.231
Magnetic moment in Bohr magnetons per cell: 0.00
Total energy in eV per cell: -203.0


No. 5
The following is a GGA-PBEsol calculation of a relaxed Al14Cu3S24 crystal, from Alexandria.

Cell and atoms, written as POSCAR:
```
Al14Cu3S24
1.0
-6.385 1.490 -2.333
-5.439 -3.679 2.305
-1.994 11.182 12.869
Cu S Al
3 24 14
direct
0.505 0.505 0.621
0.169 0.169 0.296
0.831 0.831 0.959
0.163 0.163 0.908
0.809 0.345 0.086
0.345 0.809 0.086
0.838 0.838 0.576
0.008 0.470 0.753
0.656 0.656 0.913
0.326 0.326 0.584
0.520 0.991 0.250
0.850 0.333 0.578
0.181 0.181 0.423
0.495 0.495 0.754
0.655 0.180 0.914
0.686 0.149 0.421
0.005 0.005 0.752
0.991 0.520 0.250
0.996 0.996 0.247
0.500 0.500 0.241
0.470 0.008 0.753
0.180 0.655 0.914
0.679 0.679 0.418
0.333 0.850 0.578
0.833 0.833 0.090
0.149 0.686 0.421
0.343 0.343 0.086
0.498 0.498 0.993
0.840 0.840 0.334
0.336 0.815 0.834
0.007 0.500 0.501
0.675 0.675 0.170
0.337 0.337 0.835
0.824 0.824 0.705
0.815 0.336 0.834
0.164 0.164 0.041
0.160 0.160 0.659
0.500 0.007 0.501
0.674 0.152 0.169
0.152 0.674 0.169
0.493 0.493 0.376
```

Space group: Cm, No. 8
ΔE_f (raw) in meV per atom: -948
Fermi-level density of states in states/eV per atom: 0.326
Magnetic moment in Bohr magnetons per cell: 0.01
Total energy in eV per cell: -214.4


No. 6
The following is a GGA-PBEsol calculation of a relaxed AlCuS3 crystal, from Alexandria.

Cell and atoms, written as POSCAR:
```
AlCuS3
1.0
-4.399 0.005 -0.681
0.245 -4.142 -1.612
-0.636 -1.630 4.093
S Cu Al
3 1 1
direct
0.000 0.000 0.500
0.000 0.500 0.000
0.500 0.000 0.000
0.000 0.000 0.000
0.500 0.500 0.500
```

Space group: Pm-3m, No. 221
ΔE_f (raw) in meV per atom: 396
Fermi-level density of states in states/eV per atom: 0.901
Magnetic moment in Bohr magnetons per cell: 0.00
Total energy in eV per cell: -19.6


No. 7
The following is a GGA-PBEsol calculation of a relaxed AlCuSb2 crystal, from Alexandria.

Cell and atoms, written as POSCAR:
```
AlCuSb2
1.0
-0.667 -4.433 -1.160
3.361 0.990 3.525
-1.121 -0.979 4.385
Al Sb Cu
1 2 1
direct
0.500 0.000 0.500
0.250 0.500 0.250
0.750 0.500 0.750
0.000 0.000 0.000
```

Space group: I4/mmm, No. 139
ΔE_f (raw) in meV per atom: 276
Fermi-level density of states in states/eV per atom: 0.471
Magnetic moment in Bohr magnetons per cell: 0.00
Distance to the lowest polymorph of the same formula in meV/atom: 177
Total energy in eV per cell: -16.4


No. 8
The following is a GGA-PBEsol calculation of a relaxed Al4CuSb crystal, from Alexandria.

Cell and atoms, written as POSCAR:
```
Al4CuSb
1.0
-4.085 1.874 -2.869
-5.010 -1.055 1.489
-3.073 3.890 1.962
Cu Al Sb
1 4 1
direct
0.750 0.750 0.750
0.376 0.376 0.376
0.872 0.376 0.376
0.376 0.872 0.376
0.376 0.376 0.872
0.000 0.000 0.000
```

Space group: F-43m, No. 216
ΔE_f (raw) in meV per atom: 309
Fermi-level density of states in states/eV per atom: 0.495
Magnetic moment in Bohr magnetons per cell: 0.00
Total energy in eV per cell: -23.4


No. 9
The following is a GGA-PBEsol calculation of a relaxed AlCuSb2 crystal, from Alexandria.

Cell and atoms, written as POSCAR:
```
AlCuSb2
1.0
-2.037 2.529 -2.147
-2.421 0.758 3.189
3.150 3.800 1.488
Sb Al Cu
2 1 1
direct
0.000 0.000 0.000
0.000 0.500 0.500
0.500 0.500 0.000
0.500 0.000 0.500
```

Space group: Pmmm, No. 47
ΔE_f (raw) in meV per atom: 272
Fermi-level density of states in states/eV per atom: 0.431
Magnetic moment in Bohr magnetons per cell: 0.00
Distance to the lowest polymorph of the same formula in meV/atom: 174
Total energy in eV per cell: -16.5


No. 10
The following is a GGA-PBEsol calculation of a relaxed AlCuSb2 crystal, from Alexandria.

Cell and atoms, written as POSCAR:
```
AlCuSb2
1.0
3.248 0.000 0.000
0.000 3.248 0.000
0.000 0.000 7.663
Sb Al Cu
2 1 1
direct
0.000 0.000 0.273
0.000 0.000 0.727
0.500 0.500 0.000
0.500 0.500 0.500
```

Space group: P4/mmm, No. 123
ΔE_f (raw) in meV per atom: 242
Fermi-level density of states in states/eV per atom: 0.426
Magnetic moment in Bohr magnetons per cell: 0.00
Distance to the lowest polymorph of the same formula in meV/atom: 143
Total energy in eV per cell: -16.6


No. 11
The following is a GGA-PBEsol calculation of a relaxed AlCuSb2 crystal, from Alexandria.

Cell and atoms, written as POSCAR:
```
AlCuSb2
1.0
3.443 0.000 0.000
0.000 3.443 0.000
0.000 0.000 7.242
Sb Al Cu
2 1 1
direct
0.000 0.000 0.914
0.500 0.500 0.336
0.000 0.000 0.541
0.500 0.500 0.710
```

Space group: P4mm, No. 99
ΔE_f (raw) in meV per atom: 99
Fermi-level density of states in states/eV per atom: 0.291
Magnetic moment in Bohr magnetons per cell: 0.00
Distance to the lowest polymorph of the same formula in meV/atom: 0
Total energy in eV per cell: -17.1


No. 12
The following is a GGA-PBEsol calculation of a relaxed ScAlCu crystal, from Alexandria.

Cell and atoms, written as POSCAR:
```
ScAlCu
1.0
4.251 0.000 0.000
2.126 3.682 0.000
2.126 1.227 3.471
Al Sc Cu
1 1 1
direct
0.500 0.500 0.500
0.000 0.000 0.000
0.250 0.250 0.250
```

ΔH_f (0 K) in eV per formula unit: -0.72
Space group: F-43m, No. 216
Fermi-level density of states in states/eV per atom: 1.565
Magnetic moment in Bohr magnetons per cell: 0.00
Total energy in eV per cell: -15.8


No. 13
The following is a GGA-PBEsol calculation of a relaxed ScAlCu crystal, from Alexandria.

Cell and atoms, written as POSCAR:
```
ScAlCu
1.0
5.139 0.001 0.000
-2.486 4.498 0.000
0.000 0.000 8.271
Al Sc Cu
4 4 4
direct
0.653 0.834 0.000
0.005 0.995 0.262
0.005 0.995 0.738
0.166 0.347 0.000
0.666 0.334 0.801
0.334 0.666 0.319
0.666 0.334 0.199
0.334 0.666 0.681
0.166 0.834 0.000
0.346 0.172 0.500
0.828 0.654 0.500
0.831 0.169 0.500
```

ΔH_f (0 K) in eV per formula unit: -1.26
Space group: Amm2, No. 38
Fermi-level density of states in states/eV per atom: 0.748
Magnetic moment in Bohr magnetons per cell: 0.00
Total energy in eV per cell: -65.2


No. 14
The following is a GGA-PBEsol calculation of a relaxed ScAl2Cu crystal, from Alexandria.

Cell and atoms, written as POSCAR:
```
ScAl2Cu
1.0
-3.592 0.064 -1.721
-0.569 -3.801 1.045
-1.632 1.194 3.452
Sc Al Cu
1 2 1
direct
0.500 0.500 0.500
0.500 0.000 0.000
0.000 0.500 0.000
0.000 0.000 0.500
```

ΔH_f (0 K) in eV per formula unit: -1.46
Space group: P4/mmm, No. 123
Fermi-level density of states in states/eV per atom: 0.514
Magnetic moment in Bohr magnetons per cell: 0.00
Total energy in eV per cell: -20.6


No. 15
The following is a GGA-PBEsol calculation of a relaxed ScAl2Cu crystal, from Alexandria.

Cell and atoms, written as POSCAR:
```
ScAl2Cu
1.0
-0.224 1.271 -2.717
-2.088 -3.287 -1.365
-4.412 1.640 2.799
Cu Al Sc
1 2 1
direct
0.690 0.000 0.503
0.954 0.000 0.033
0.560 0.500 0.246
0.297 0.500 0.719
```

ΔH_f (0 K) in eV per formula unit: -0.97
Space group: Amm2, No. 38
Fermi-level density of states in states/eV per atom: 0.489
Magnetic moment in Bohr magnetons per cell: 0.00
Total energy in eV per cell: -20.1


No. 16
The following is a GGA-PBEsol calculation of a relaxed ScAlCu crystal, from Alexandria.

Cell and atoms, written as POSCAR:
```
ScAlCu
1.0
-2.532 1.276 1.348
-2.377 -1.181 -3.348
0.449 -2.632 3.336
Al Sc Cu
1 1 1
direct
0.000 0.000 0.000
0.500 0.333 0.667
0.000 0.667 0.333
```

ΔH_f (0 K) in eV per formula unit: -1.19
Space group: P-6m2, No. 187
Fermi-level density of states in states/eV per atom: 0.609
Magnetic moment in Bohr magnetons per cell: 0.00
Total energy in eV per cell: -16.2


No. 17
The following is a GGA-PBEsol calculation of a relaxed Al2Cu3Se6 crystal, from Alexandria.

Cell and atoms, written as POSCAR:
```
Al2Cu3Se6
1.0
-3.237 0.155 4.260
-1.596 -5.004 -1.031
14.518 -3.371 7.792
Cu Se Al
6 12 4
direct
0.000 0.000 0.000
0.331 0.331 0.662
0.250 0.750 0.500
0.581 0.081 0.162
0.669 0.669 0.338
0.919 0.419 0.838
0.938 0.974 0.425
0.125 0.129 0.750
0.762 0.776 0.075
0.312 0.299 0.075
0.549 0.062 0.575
0.488 0.451 0.425
0.379 0.875 0.250
0.625 0.621 0.750
0.701 0.238 0.925
0.871 0.375 0.250
0.224 0.688 0.925
0.026 0.512 0.575
0.079 0.579 0.158
0.421 0.921 0.842
0.829 0.829 0.658
0.171 0.171 0.342
```

Space group: I-42d, No. 122
ΔE_f (raw) in meV per atom: -370
Fermi-level density of states in states/eV per atom: 0.656
Magnetic moment in Bohr magnetons per cell: 0.00
Total energy in eV per cell: -96.7


No. 18
The following is a GGA-PBEsol calculation of a relaxed Al2CuSe crystal, from Alexandria.

Cell and atoms, written as POSCAR:
```
Al2CuSe
1.0
-3.220 0.272 -1.110
-0.707 -0.429 -3.315
-2.246 -6.773 -0.405
Cu Al Se
1 2 1
direct
0.501 0.501 0.497
0.758 0.758 0.727
0.992 0.992 0.024
0.250 0.250 0.251
```

Space group: R3m, No. 160
ΔE_f (raw) in meV per atom: -61
Fermi-level density of states in states/eV per atom: 0.269
Magnetic moment in Bohr magnetons per cell: 0.00
Total energy in eV per cell: -16.6


No. 19
The following is a GGA-PBEsol calculation of a relaxed Al3CuSe crystal, from Alexandria.

Cell and atoms, written as POSCAR:
```
Al3CuSe
1.0
-0.106 4.881 0.158
-0.829 -0.174 4.811
4.813 0.078 0.833
Al Se Cu
3 1 1
direct
0.000 0.500 0.000
0.000 0.000 0.500
0.500 0.000 0.000
0.000 0.000 0.000
0.500 0.500 0.500
```

Space group: Pm-3m, No. 221
ΔE_f (raw) in meV per atom: 900
Fermi-level density of states in states/eV per atom: 0.406
Magnetic moment in Bohr magnetons per cell: 0.00
Total energy in eV per cell: -16.0


No. 20
The following is a GGA-PBEsol calculation of a relaxed Al2Cu3Si crystal, from Alexandria.

Cell and atoms, written as POSCAR:
```
Al2Cu3Si
1.0
-3.282 1.499 0.630
-0.036 -1.494 3.371
2.520 3.927 3.783
Cu Al Si
3 2 1
direct
0.000 0.668 0.665
0.000 0.332 0.335
0.500 0.500 0.000
0.500 0.837 0.326
0.500 0.163 0.674
0.000 0.000 0.000
```

Space group: Cmmm, No. 65
ΔE_f (raw) in meV per atom: -79
Fermi-level density of states in states/eV per atom: 0.371
Magnetic moment in Bohr magnetons per cell: 0.00
Total energy in eV per cell: -27.4


No. 21
The following is a GGA-PBEsol calculation of a relaxed AlCuSi2 crystal, from Alexandria.

Cell and atoms, written as POSCAR:
```
AlCuSi2
1.0
-1.452 0.527 -4.007
2.058 -1.842 -3.289
-1.799 -3.297 -2.083
Cu Si Al
1 2 1
direct
0.250 0.250 0.250
0.750 0.750 0.750
0.000 0.000 0.000
0.500 0.500 0.500
```

Space group: F-43m, No. 216
ΔE_f (raw) in meV per atom: 263
Fermi-level density of states in states/eV per atom: 0.552
Magnetic moment in Bohr magnetons per cell: 0.00
Total energy in eV per cell: -18.9


No. 22
The following is a GGA-PBEsol calculation of a relaxed AlCuSi3 crystal, from Alexandria.

Cell and atoms, written as POSCAR:
```
AlCuSi3
1.0
4.644 0.000 0.000
0.000 4.644 0.000
0.000 0.000 4.644
Al Si Cu
1 3 1
direct
0.000 0.000 0.000
0.000 0.000 0.500
0.500 0.000 0.000
0.000 0.500 0.000
0.500 0.500 0.500
```

Space group: Pm-3m, No. 221
ΔE_f (raw) in meV per atom: 1169
Fermi-level density of states in states/eV per atom: 0.467
Magnetic moment in Bohr magnetons per cell: 0.00
Total energy in eV per cell: -19.8


No. 23
The following is a GGA-PBEsol calculation of a relaxed AlCuSi crystal, from Alexandria.

Cell and atoms, written as POSCAR:
```
AlCuSi
1.0
-1.475 -0.157 -2.226
2.155 -2.693 -1.238
-2.806 -1.391 3.565
Si Al Cu
1 1 1
direct
0.324 0.324 0.648
0.004 0.004 0.009
0.672 0.672 0.344
```

Space group: Imm2, No. 44
ΔE_f (raw) in meV per atom: 61
Fermi-level density of states in states/eV per atom: 0.396
Magnetic moment in Bohr magnetons per cell: 0.00
Total energy in eV per cell: -14.0


No. 24
The following is a GGA-PBEsol calculation of a relaxed AlCuSi crystal, from Alexandria.

Cell and atoms, written as POSCAR:
```
AlCuSi
1.0
-1.058 -2.981 0.666
1.538 -1.302 -3.381
2.163 -0.033 3.288
Cu Si Al
1 1 1
direct
0.000 0.000 0.000
0.000 0.333 0.667
0.500 0.667 0.333
```

Space group: P-6m2, No. 187
ΔE_f (raw) in meV per atom: 93
Fermi-level density of states in states/eV per atom: 0.329
Magnetic moment in Bohr magnetons per cell: 0.00
Total energy in eV per cell: -13.9